An optimized crystal structure of Bi2PdPb6, computed with PBE.

Output
Its density of states at the Fermi level is 3.78 states/eV/cell. For the energy of formation from the pure elements, the calculation gives -26.5 meV/atom. As for the space-group type: C2/m (12).

Cell lengths 9.6929, 9.6929, 3.4588 Å; angles 90.95, 90.95, 122.89 degrees
Closest atoms and distances in Å follow each position.
Fractional coordinates of all 9 atoms:
Bi  0.1332  0.8668  0.0000  2 Pd 2.85
Bi  0.8668  0.1332  0.0000  2 Pd 2.85
Pd  0.0000  0.0000  0.5000  4 Bi 2.85, 2 Pb 2.96
Pb  0.1645  0.5195  0.7446  8 Pb 3.37-3.62, 2 Bi 3.40-3.64
Pb  0.2920  0.2920  0.1817  1 Pd 2.96
Pb  0.4805  0.8355  0.2554  8 Pb 3.37-3.62, 2 Bi 3.40-3.64
Pb  0.5195  0.1645  0.7446  8 Pb 3.37-3.62, 2 Bi 3.40-3.64
Pb  0.7080  0.7080  0.8183  1 Pd 2.96
Pb  0.8355  0.4805  0.2554  8 Pb 3.37-3.62, 2 Bi 3.40-3.64